No. 1
Compound: CrNiAs2W
Source: Alexandria
Functional: PBE
Structure: relaxed

Cell lengths 4.524, 4.524, 4.317 Å; angles 90.00, 90.00, 90.00 degrees
Space group P4/mmm (No. 123)
Unique sites:
Cr  0.000  0.000  0.000
Ni  0.000  0.000  0.500
As  0.000  0.500  0.000
W  0.500  0.500  0.500

No. 2
Compound: Tl3Hg2Pb
Source: Alexandria
Functional: PBE
Structure: relaxed

Computed properties:
Distance to the lowest polymorph of the same formula: 0.000 eV per atom

Cell lengths 3.826, 3.826, 12.162 Å; angles 90.00, 90.00, 90.00 degrees
Space group P4/mmm (No. 123)
Unique sites:
Tl  0.000  0.000  0.000
Tl  0.000  0.000  0.324
Hg  0.500  0.500  0.163
Pb  0.500  0.500  0.500

| no. | magnetic moment (μB per cell) | E (eV/atom) | formation enthalpy at 0 K (meV per atom) |
| --- | --- | --- | --- |
| 1 | 3.23 | -6.321 | 1210 |
| 2 | 0.00 | -1.906 | -4 |